This record from Alexandria describes a relaxed Cu2MoP crystal. The functional is PBE-GGA.

Cell: 3.102 3.102 5.512 Å, 90.00 90.00 90.00°
Fractional positions:
Cu 0.000 0.000 0.000
Cu 0.500 0.500 0.209
Mo 0.000 0.000 0.510
P 0.500 0.500 0.721

Summary:
Spin magnetization: 0.00 μB per atom
DOS(E_F): 0.5803 states/eV per atom
Space-group type: P4mm
Total energy: -24.53 eV/f.u.
Calculated density: 7.96 g/cm³
Formation energy from the elements: -25 meV/atom

This record from Alexandria describes a relaxed CuMoP2 crystal. The functional is PBE-GGA.

Cell: 2.664 2.664 9.524 Å, 90.00 90.00 103.14°
Fractional positions:
Cu 0.000 0.000 0.000
Mo 0.500 0.500 0.773
P 0.000 0.000 0.577
P 0.500 0.500 0.186

Summary:
Spin magnetization: 0.00 μB per atom
DOS(E_F): 0.6624 states/eV per atom
Space-group type: Cmm2
Total energy: -24.61 eV/f.u.
Calculated density: 5.59 g/cm³
Formation energy from the elements: 283 meV/atom

This record from Alexandria describes a relaxed CuMoP crystal. The functional is PBE-GGA.

Cell: 4.922 4.922 4.922 Å, 144.08 144.08 51.71°
Fractional positions:
Cu 0.000 0.000 0.000
Mo 0.694 0.694 0.000
P 0.339 0.339 0.000

Summary:
Spin magnetization: 0.00 μB per atom
DOS(E_F): 0.3690 states/eV per atom
Space-group type: I4mm
Total energy: -20.34 eV/f.u.
Calculated density: 7.75 g/cm³
Formation energy from the elements: -2 meV/atom

This record from Alexandria describes a relaxed CuMoP crystal. The functional is PBE-GGA.

Cell: 6.075 5.869 2.835 Å, 80.35 72.26 27.39°
Fractional positions:
Cu 0.000 0.000 0.000
Mo 0.689 0.689 0.311
P 0.341 0.341 0.659

Summary:
Spin magnetization: 0.00 μB per atom
DOS(E_F): 0.7039 states/eV per atom
Space-group type: Fmm2
Total energy: -19.51 eV/f.u.
Calculated density: 7.35 g/cm³
Formation energy from the elements: 275 meV/atom

This record from Alexandria describes a relaxed Cu2MoP crystal. The functional is PBE-GGA.

Cell: 2.633 2.633 7.900 Å, 90.00 90.00 94.99°
Fractional positions:
Cu 0.000 0.000 0.239
Cu 0.000 0.000 0.761
Mo 0.500 0.500 0.500
P 0.500 0.500 0.000

Summary:
Spin magnetization: 0.00 μB per atom
DOS(E_F): 0.3816 states/eV per atom
Space-group type: Cmmm
Total energy: -23.40 eV/f.u.
Calculated density: 7.73 g/cm³
Formation energy from the elements: 257 meV/atom

This record from Alexandria describes a relaxed Cu2MoP crystal. The functional is PBE-GGA.

Cell: 8.407 8.407 8.407 Å, 18.91 18.91 18.91°
Fractional positions:
Cu 0.244 0.244 0.244
Cu 0.756 0.756 0.756
Mo 0.000 0.000 0.000
P 0.500 0.500 0.500

Summary:
Spin magnetization: 0.00 μB per atom
DOS(E_F): 0.7948 states/eV per atom
Space-group type: R-3m
Total energy: -23.24 eV/f.u.
Calculated density: 7.74 g/cm³
Formation energy from the elements: 299 meV/atom

This record from Alexandria describes a relaxed Cu2MoP2 crystal. The functional is PBE-GGA.

Cell: 6.317 6.317 3.400 Å, 90.00 90.00 90.00°
Fractional positions:
Cu 0.150 0.350 0.000
Cu 0.350 0.850 0.000
Cu 0.650 0.150 0.000
Cu 0.850 0.650 0.000
Mo 0.000 0.000 0.500
Mo 0.500 0.500 0.500
P 0.146 0.646 0.500
P 0.354 0.146 0.500
P 0.646 0.854 0.500
P 0.854 0.354 0.500

Summary:
Spin magnetization: 0.00 μB per atom
DOS(E_F): 0.4385 states/eV per atom
Space-group type: P4/mbm
Total energy: -29.98 eV/f.u.
Calculated density: 6.98 g/cm³
Formation energy from the elements: -27 meV/atom

This record from Alexandria describes a relaxed CuMo2P crystal. The functional is PBE-GGA.

Cell: 3.252 3.252 5.322 Å, 90.00 90.00 90.00°
Fractional positions:
Cu 0.000 0.000 0.000
Mo 0.000 0.000 0.509
Mo 0.500 0.500 0.232
P 0.500 0.500 0.753

Summary:
Spin magnetization: 0.00 μB per atom
DOS(E_F): 0.3635 states/eV per atom
Space-group type: P4mm
Total energy: -31.09 eV/f.u.
Calculated density: 8.45 g/cm³
Formation energy from the elements: 21 meV/atom

This record from Alexandria describes a relaxed CuMoP2 crystal. The functional is PBE-GGA.

Cell: 4.260 4.260 4.260 Å, 60.00 60.00 60.00°
Fractional positions:
Cu 0.000 0.000 0.000
Mo 0.500 0.500 0.500
P 0.250 0.250 0.250
P 0.750 0.750 0.750

Summary:
Spin magnetization: 0.00 μB per atom
DOS(E_F): 0.6348 states/eV per atom
Space-group type: Fm-3m
Total energy: -25.00 eV/f.u.
Calculated density: 6.73 g/cm³
Formation energy from the elements: 186 meV/atom

This record from Alexandria describes a relaxed CuMoP crystal. The functional is PBE-GGA.

Cell: 4.083 4.083 4.083 Å, 60.00 60.00 60.00°
Fractional positions:
Cu 0.000 0.000 0.000
Mo 0.750 0.750 0.750
P 0.500 0.500 0.500

Summary:
Spin magnetization: 0.39 μB per atom
DOS(E_F): 0.4223 states/eV per atom
Space-group type: F-43m
Total energy: -19.40 eV/f.u.
Calculated density: 6.57 g/cm³
Formation energy from the elements: 313 meV/atom

This record from Alexandria describes a relaxed CuMoP2 crystal. The functional is PBE-GGA.

Cell: 3.122 3.115 5.732 Å, 90.00 97.63 90.00°
Fractional positions:
Cu 0.000 0.000 0.000
Mo 0.000 0.000 0.500
P 0.440 0.500 0.265
P 0.560 0.500 0.735

Summary:
Spin magnetization: 0.00 μB per atom
DOS(E_F): 0.4747 states/eV per atom
Space-group type: P2/m
Total energy: -26.23 eV/f.u.
Calculated density: 6.65 g/cm³
Formation energy from the elements: -121 meV/atom

This record from Alexandria describes a relaxed Cu3MoP crystal. The functional is PBE-GGA.

Cell: 4.231 4.231 4.231 Å, 90.00 90.00 90.00°
Fractional positions:
Cu 0.000 0.000 0.500
Cu 0.000 0.500 0.000
Cu 0.500 0.000 0.000
Mo 0.500 0.500 0.500
P 0.000 0.000 0.000

Summary:
Spin magnetization: 0.01 μB per atom
DOS(E_F): 0.6779 states/eV per atom
Space-group type: Pm-3m
Total energy: -24.62 eV/f.u.
Calculated density: 6.96 g/cm³
Formation energy from the elements: 782 meV/atom

This record from Alexandria describes a relaxed Cu2MoP crystal. The functional is PBE-GGA.

Cell: 3.357 3.357 4.857 Å, 90.00 90.00 90.00°
Fractional positions:
Cu 0.000 0.000 0.248
Cu 0.000 0.000 0.752
Mo 0.500 0.500 0.500
P 0.500 0.500 0.000

Summary:
Spin magnetization: 0.00 μB per atom
DOS(E_F): 0.7082 states/eV per atom
Space-group type: P4/mmm
Total energy: -23.57 eV/f.u.
Calculated density: 7.71 g/cm³
Formation energy from the elements: 215 meV/atom

This record from Alexandria describes a relaxed CuMo2P crystal. The functional is PBE-GGA.

Cell: 4.747 4.747 4.747 Å, 138.62 124.04 71.93°
Fractional positions:
Cu 0.000 0.000 0.000
Mo 0.285 0.785 0.500
Mo 0.715 0.215 0.500
P 0.500 0.500 0.000

Summary:
Spin magnetization: 0.00 μB per atom
DOS(E_F): 0.7831 states/eV per atom
Space-group type: Immm
Total energy: -30.98 eV/f.u.
Calculated density: 8.29 g/cm³
Formation energy from the elements: 48 meV/atom

This record from Alexandria describes a relaxed CuMo2P crystal. The functional is PBE-GGA.

Cell: 8.510 8.510 8.510 Å, 19.37 19.37 19.37°
Fractional positions:
Cu 0.000 0.000 0.000
Mo 0.245 0.245 0.245
Mo 0.485 0.485 0.485
P 0.746 0.746 0.746

Summary:
Spin magnetization: 0.00 μB per atom
DOS(E_F): 0.3732 states/eV per atom
Space-group type: R3m
Total energy: -30.39 eV/f.u.
Calculated density: 8.03 g/cm³
Formation energy from the elements: 195 meV/atom

This record from Alexandria describes a relaxed CuMo2P crystal. The functional is PBE-GGA.

Cell: 2.923 3.554 5.605 Å, 90.00 102.29 90.00°
Fractional positions:
Cu 0.000 0.000 0.000
Mo 0.403 0.500 0.737
Mo 0.597 0.500 0.263
P 0.000 0.000 0.500

Summary:
Spin magnetization: 0.00 μB per atom
DOS(E_F): 0.7861 states/eV per atom
Space-group type: P2/m
Total energy: -30.92 eV/f.u.
Calculated density: 8.36 g/cm³
Formation energy from the elements: 63 meV/atom

This record from Alexandria describes a relaxed CuMoP2 crystal. The functional is PBE-GGA.

Cell: 4.609 4.609 4.132 Å, 102.46 102.46 40.56°
Fractional positions:
Cu 0.000 0.000 0.000
Mo 0.222 0.222 0.615
P 0.503 0.503 0.538
P 0.750 0.750 0.099

Summary:
Spin magnetization: 0.00 μB per atom
DOS(E_F): 0.5275 states/eV per atom
Space-group type: Cm
Total energy: -26.09 eV/f.u.
Calculated density: 6.62 g/cm³
Formation energy from the elements: -86 meV/atom

This record from Alexandria describes a relaxed Cu2MoP crystal. The functional is PBE-GGA.

Cell: 4.573 4.573 4.573 Å, 133.68 129.65 70.80°
Fractional positions:
Cu 0.000 0.000 0.000
Cu 0.731 0.231 0.500
Mo 0.268 0.768 0.500
P 0.514 0.514 0.000

Summary:
Spin magnetization: 0.00 μB per atom
DOS(E_F): 0.8317 states/eV per atom
Space-group type: Imm2
Total energy: -23.87 eV/f.u.
Calculated density: 8.09 g/cm³
Formation energy from the elements: 141 meV/atom

This record from Alexandria describes a relaxed CuMo2P crystal. The functional is PBE-GGA.

Cell: 4.816 4.816 4.390 Å, 108.03 108.03 35.14°
Fractional positions:
Cu 0.000 0.000 0.000
Mo 0.552 0.552 0.538
Mo 0.755 0.755 0.181
P 0.283 0.283 0.695

Summary:
Spin magnetization: 0.00 μB per atom
DOS(E_F): 0.4293 states/eV per atom
Space-group type: Cm
Total energy: -31.12 eV/f.u.
Calculated density: 8.58 g/cm³
Formation energy from the elements: 13 meV/atom

This record from Alexandria describes a relaxed Cu2MoP crystal. The functional is PBE-GGA.

Cell: 5.391 5.391 5.391 Å, 101.36 101.36 127.31°
Fractional positions:
Cu 0.084 0.125 0.459
Cu 0.375 0.916 0.041
Cu 0.666 0.625 0.541
Cu 0.875 0.334 0.959
Mo 0.250 0.750 0.500
Mo 0.500 0.500 0.000
P 0.000 0.000 0.000
P 0.750 0.250 0.500

Summary:
Spin magnetization: 0.00 μB per atom
DOS(E_F): 0.8052 states/eV per atom
Space-group type: I-42d
Total energy: -23.59 eV/f.u.
Calculated density: 7.55 g/cm³
Formation energy from the elements: 212 meV/atom